No. 1
# In2H6Ir | Alexandria | GGA-PBE | relaxed
# Density = 7151 kg/m³
# Symmetry = No. 14
data_In2H6Ir
_cell_length_a 5.4791
_cell_length_b 4.5507
_cell_length_c 9.4229
_cell_angle_alpha 90.00
_cell_angle_beta 122.23
_cell_angle_gamma 90.00
_space_group_name_H-M_alt 'P 1'
_space_group_IT_number 1
_space_group_name_Hall 'P 1'
loop_
_atom_site_label
_atom_site_type_symbol
_atom_site_fract_x
_atom_site_fract_y
_atom_site_fract_z
H1 H 0.7226 0.7643 0.0099
H2 H 0.7712 0.7448 0.4919
H3 H 0.8625 0.0003 0.2931
H4 H 0.6375 0.5003 0.2069
H5 H 0.2288 0.2552 0.5081
H6 H 0.3625 0.4997 0.7931
H7 H 0.7774 0.2643 0.4901
H8 H 0.1375 0.9997 0.7069
H9 H 0.2774 0.2357 0.9901
H10 H 0.2226 0.7357 0.5099
H11 H 0.2712 0.7552 0.9919
H12 H 0.7288 0.2448 0.0081
Ir1 Ir 0.0000 0.0000 0.5000
Ir2 Ir 0.5000 0.5000 0.0000
In1 In 0.9131 0.4971 0.7228
In2 In 0.4131 0.0029 0.2228
In3 In 0.0869 0.5029 0.2772
In4 In 0.5869 0.9971 0.7772



No. 2
# NaGaPb | Alexandria | GGA-PBE | relaxed
# Density = 6143 kg/m³
# ΔH_f (0 K) = -95 meV/atom
# Symmetry = No. 2
data_NaGaPb
_cell_length_a 6.2086
_cell_length_b 6.5033
_cell_length_c 4.7016
_cell_angle_alpha 111.11
_cell_angle_beta 112.48
_cell_angle_gamma 88.75
_space_group_name_H-M_alt 'P 1'
_space_group_IT_number 1
_space_group_name_Hall 'P 1'
loop_
_atom_site_label
_atom_site_type_symbol
_atom_site_fract_x
_atom_site_fract_y
_atom_site_fract_z
Ga1 Ga 0.7759 0.3571 0.6225
Ga2 Ga 0.9940 0.0217 0.5646
Na1 Na 0.5657 0.0160 0.8476
Na2 Na 0.2046 0.3633 0.3398
Pb1 Pb 0.6498 0.6010 0.1805
Pb2 Pb 0.1204 0.7779 0.0067



| no. | M_tot (μB/f.u.) | E_tot (eV per atom) |
| --- | --- | --- |
| 1 | 0.00 | -3.76 |
| 2 | 0.00 | -2.78 |